[1]
La3PrInOs after structural relaxation. Source: Alexandria via LeMat-Bulk, functional PBE.

a b c (Å): 9.1617 9.1617 6.2090
angles (deg): 109.75 109.75 50.45
Element x y z (fractional)
La: 0.1746 0.1746 0.6738
La: 0.1249 0.6373 0.8816
La: 0.6373 0.1249 0.8816
La: 0.3627 0.8751 0.1184
La: 0.8751 0.3627 0.1184
La: 0.8254 0.8254 0.3262
Pr: 0.3054 0.6946 0.5000
Pr: 0.6946 0.3054 0.5000
In: 0.6962 0.6962 0.6967
In: 0.3038 0.3038 0.3033
Os: 0.0000 0.0000 0.7596
Os: 0.0000 0.0000 0.2404

Calculated values
* calculated formation energy: -1.6 eV per formula unit
* space group: C2/m, No. 12
* volume: 372.74 Å³/cell

[2]
BeCuPb after structural relaxation. Source: Alexandria via LeMat-Bulk, functional PBE.

a b c (Å): 4.1882 4.1882 4.1882
angles (deg): 60.00 60.00 60.00
Element x y z (fractional)
Pb: 0.5000 0.5000 0.5000
Be: 0.7500 0.7500 0.7500
Cu: 0.0000 0.0000 0.0000

Calculated values
* excess energy over the best structure of this formula in the dataset: 0 meV per atom
* calculated formation energy: 1.2 eV per formula unit
* space group: F-43m, No. 216
* volume: 51.95 Å³/cell

[3]
Bi2NCl after structural relaxation. Source: Alexandria via LeMat-Bulk, functional PBE.

a b c (Å): 5.8593 5.8593 7.9089
angles (deg): 68.26 68.26 90.00
Element x y z (fractional)
N: 0.5000 0.5000 0.0000
N: 0.2500 0.7500 0.5000
Bi: 0.5092 0.1250 0.2500
Bi: 0.2408 0.6250 0.2500
Bi: 0.3750 0.4908 0.7500
Bi: 0.8750 0.7592 0.7500
Cl: 0.0000 0.0000 0.0000
Cl: 0.7500 0.2500 0.5000

Calculated values
* excess energy over the best structure of this formula in the dataset: 0 meV per atom
* ΔE_f (raw): 302.2 meV per atom
* space group: I-42d, No. 122
* volume: 231.29 Å³/cell

[4]
Sc3ZnN after structural relaxation. Source: Alexandria via LeMat-Bulk, functional PBE.

a b c (Å): 7.4415 7.4415 7.4415
angles (deg): 50.55 50.55 50.55
Element x y z (fractional)
Sc: 0.9400 0.5600 0.2500
Sc: 0.5600 0.2500 0.9400
Sc: 0.2500 0.9400 0.5600
Sc: 0.7500 0.0600 0.4400
Sc: 0.4400 0.7500 0.0600
Sc: 0.0600 0.4400 0.7500
Zn: 0.0000 0.0000 0.0000
Zn: 0.5000 0.5000 0.5000
N: 0.2500 0.2500 0.2500
N: 0.7500 0.7500 0.7500

Calculated values
* ΔE_f (raw): -367.1 meV per atom
* space group: R-3c, No. 167
* volume: 226.38 Å³/cell

[5]
CdNi2Mo after structural relaxation. Source: Alexandria via LeMat-Bulk, functional PBE.

a b c (Å): 3.5014 2.7451 6.6569
angles (deg): 65.60 90.00 90.00
Element x y z (fractional)
Cd: 0.5000 0.2500 0.2500
Mo: 0.5000 0.7500 0.7500
Ni: 0.0000 0.0369 0.9625
Ni: 0.0000 0.4631 0.5375

Calculated values
* calculated formation energy: 0.4 eV per formula unit
* space group: Pmmm, No. 47
* volume: 58.27 Å³/cell

[6]
K2CaSb after structural relaxation. Source: Alexandria via LeMat-Bulk, functional PBE.

a b c (Å): 6.9389 6.9389 5.0001
angles (deg): 68.96 68.96 41.59
Element x y z (fractional)
Ca: 0.2500 0.2500 0.2500
K: 0.0052 0.0052 0.9943
K: 0.4948 0.4948 0.5057
Sb: 0.7500 0.7500 0.7500

Calculated values
* ΔE_f (raw): -253.9 meV per atom
* space group: C2/m, No. 12
* volume: 147.56 Å³/cell

[7]
Tb5PmSc6 after structural relaxation. Source: Alexandria via LeMat-Bulk, functional PBE.

a b c (Å): 11.1372 5.9551 5.9521
angles (deg): 59.98 84.90 79.77
Element x y z (fractional)
Tb: 0.5000 0.1666 0.6667
Tb: 0.0000 0.3333 0.3334
Tb: 0.5000 0.5000 0.0000
Tb: 0.0000 0.6667 0.6666
Tb: 0.5000 0.8334 0.3333
Pm: 0.0000 0.0000 0.0000
Sc: 0.7493 0.0835 0.3335
Sc: 0.2507 0.5831 0.3335
Sc: 0.2506 0.2501 0.0000
Sc: 0.7494 0.7499 0.0000
Sc: 0.7493 0.4169 0.6665
Sc: 0.2507 0.9165 0.6665

Calculated values
* calculated formation energy: 0.7 eV per formula unit
* space group: C2/m, No. 12
* volume: 336.38 Å³/cell

[8]
AcCuIrPb after structural relaxation. Source: Alexandria via LeMat-Bulk, functional PBE.

a b c (Å): 5.0849 5.0849 5.0849
angles (deg): 60.00 60.00 60.00
Element x y z (fractional)
Pb: 0.7500 0.7500 0.7500
Ac: 0.2500 0.2500 0.2500
Ir: 0.5000 0.5000 0.5000
Cu: 0.0000 0.0000 0.0000

Calculated values
* calculated formation energy: -0.2 eV per formula unit
* space group: F-43m, No. 216
* volume: 92.97 Å³/cell

[9]
CaNiHg2 after structural relaxation. Source: Alexandria via LeMat-Bulk, functional PBE.

a b c (Å): 4.9210 4.9210 4.9210
angles (deg): 60.00 60.00 60.00
Element x y z (fractional)
Ni: 0.7500 0.7500 0.7500
Ca: 0.5000 0.5000 0.5000
Hg: 0.0000 0.0000 0.0000
Hg: 0.2500 0.2500 0.2500

Calculated values
* calculated formation energy: -0.2 eV per formula unit
* space group: F-43m, No. 216
* volume: 84.27 Å³/cell

[10]
Pm2TlCd5 after structural relaxation. Source: Alexandria via LeMat-Bulk, functional PBE.

a b c (Å): 4.3820 9.4777 10.2963
angles (deg): 90.00 90.00 103.37
Element x y z (fractional)
Pm: 0.8116 0.6233 0.7500
Pm: 0.1884 0.3767 0.2500
Pm: 0.0000 0.0000 0.0000
Pm: 0.0000 0.0000 0.5000
Tl: 0.4613 0.9227 0.7500
Tl: 0.5387 0.0773 0.2500
Cd: 0.2043 0.4086 0.8978
Cd: 0.7957 0.5914 0.1022
Cd: 0.2043 0.4086 0.6022
Cd: 0.7957 0.5914 0.3978
Cd: 0.3628 0.7255 0.9710
Cd: 0.6372 0.2745 0.0290
Cd: 0.3628 0.7255 0.5290
Cd: 0.6372 0.2745 0.4710
Cd: 0.6165 0.2330 0.7500
Cd: 0.3835 0.7670 0.2500

Calculated values
* excess energy over the best structure of this formula in the dataset: 36 meV per atom
* calculated formation energy: -1.9 eV per formula unit
* space group: Cmcm, No. 63
* volume: 416.04 Å³/cell

[11]
TcPAu2 after structural relaxation. Source: Alexandria via LeMat-Bulk, functional PBE.

a b c (Å): 3.7929 3.7929 4.5561
angles (deg): 90.00 90.00 90.00
Element x y z (fractional)
Tc: 0.0000 0.0000 0.5000
P: 0.5000 0.5000 0.5000
Au: 0.0000 0.5000 0.0000
Au: 0.5000 0.0000 0.0000

Calculated values
* calculated formation energy: 1.9 eV per formula unit
* space group: P4/mmm, No. 123
* volume: 65.54 Å³/cell

[12]
NaAcDyGa after structural relaxation. Source: Alexandria via LeMat-Bulk, functional PBE.

a b c (Å): 5.4893 5.4893 5.4893
angles (deg): 60.00 60.00 60.00
Element x y z (fractional)
Na: 0.7500 0.7500 0.7500
Ac: 0.5000 0.5000 0.5000
Ga: 0.2500 0.2500 0.2500
Dy: 0.0000 0.0000 0.0000

Calculated values
* calculated formation energy: -0.3 eV per formula unit
* space group: F-43m, No. 216
* volume: 116.96 Å³/cell